The following is a PBE calculation of Ca3SnB2Pt9 after structural relaxation, from Alexandria via LeMat-Bulk.

Computed properties:
The density of states at the Fermi level comes out at 0.4094 states/eV/atom. For the formation energy, the calculation gives -10.2 eV per formula unit.

```
Ca3SnB2Pt9
1.0
-2.119 1.733 5.130
4.458 -3.728 -0.195
6.004 7.177 0.056
Pt Ca Sn B
9 3 1 2
Direct
0.500 0.500 0.000 Pt
0.673 0.837 0.274 Pt
0.327 0.163 0.726 Pt
0.837 0.673 0.726 Pt
0.163 0.837 0.274 Pt
0.500 0.000 0.000 Pt
0.000 0.500 0.000 Pt
0.837 0.163 0.726 Pt
0.163 0.327 0.274 Pt
0.000 0.000 0.000 Ca
0.333 0.667 0.627 Ca
0.667 0.333 0.373 Ca
0.000 0.000 0.500 Sn
0.333 0.667 0.145 B
0.667 0.333 0.855 B
```

The following is a PBE calculation of Ca2VBPt after structural relaxation, from Alexandria via LeMat-Bulk.

Computed properties:
The density of states at the Fermi level comes out at 0.5330 states/eV/atom. For the formation energy, the calculation gives 3.9 eV per formula unit.

```
Ca2VBPt
1.0
-3.295 1.447 4.151
1.326 -2.963 2.086
3.970 3.208 2.033
B Pt V Ca
1 1 1 2
Direct
0.000 0.500 0.000 B
0.500 0.500 0.500 Pt
0.000 0.000 0.000 V
0.000 0.000 0.500 Ca
0.500 0.000 0.000 Ca
```